1.
Density functional theory data (PBE) for a geometry-optimized CaIrBr structure.

Lattice parameters (Å, degrees): 7.3671 7.3671 7.3671 146.63 130.57 60.96
With the nearest neighbours (Å) after each atom.
Sites, in units of the cell vectors:
Ca  0.3584  0.1084  0.2500  4 Br 2.96
Ca  0.6416  0.8916  0.7500  4 Br 2.96
Ir  0.0392  0.7892  0.2500  2 Ir 2.34
Ir  0.9608  0.2108  0.7500  2 Ir 2.34
Br  0.0000  0.5000  0.5000  4 Ca 2.96, 2 Br 3.08
Br  0.5000  0.5000  0.0000  4 Ca 2.96, 2 Br 3.08

Summary:
energy above the most stable polymorph in this dataset: 776 meV/atom
magnetic moment: 0.00 μB/atom
VASP energy: -4.474 eV per atom
formation energy (no corrections): -295 meV/atom

2.
Density functional theory data (PBE) for a geometry-optimized SmSnIr structure.

Lattice parameters (Å, degrees): 7.3959 7.3959 7.3959 151.65 151.65 40.52
With the nearest neighbours (Å) after each atom.
Sites, in units of the cell vectors:
Sm  0.0000  0.0000  0.0000  4 Ir 2.81
Sn  0.2328  0.2328  0.0000  1 Ir 2.55
Ir  0.4167  0.4167  0.0000  1 Sn 2.55, 4 Sm 2.81

Summary:
magnetic moment: 0.00 μB/atom
VASP energy: -5.877 eV per atom
formation enthalpy at 0 K: -0.016 eV/atom

3.
Density functional theory data (PBE) for a geometry-optimized P2IrSe structure.

Lattice parameters (Å, degrees): 4.7578 3.6183 5.0515 90.00 91.41 90.00
With the nearest neighbours (Å) after each atom.
Sites, in units of the cell vectors:
P  0.0000  0.0000  0.0000  1 P 2.20, 2 Ir 2.37
P  0.4630  0.0000  0.9934  1 P 2.20, 2 Ir 2.38
Ir  0.7340  0.5000  0.1671  4 P 2.37-2.38, 2 Se 2.54
Se  0.7310  0.0000  0.5196  2 Ir 2.54, 2 P 2.72-2.74

Summary:
magnetic moment: 0.00 μB/atom
VASP energy: -5.756 eV per atom
formation energy (no corrections): 35 meV/atom